Below is a crystal of Zr3TeRh relaxed with PBEsol, with properties calculated at the meta-GGA SCAN level.

Computed properties:
total magnetization	0.00	μB per formula unit
E_form (uncorrected)	424	kJ/mol of formula units

CIF file:
```
data_Zr3TeRh
_cell_length_a 5.1061
_cell_length_b 5.1061
_cell_length_c 5.1061
_cell_angle_alpha 90.00
_cell_angle_beta 90.00
_cell_angle_gamma 90.00
_space_group_name_H-M_alt 'P m -3 m'
_space_group_IT_number 221
_space_group_name_Hall '-P 4 2 3'
loop_
_atom_site_label
_atom_site_type_symbol
_atom_site_fract_x
_atom_site_fract_y
_atom_site_fract_z
_atom_site_occupancy
Zr1 Zr 0.0000 0.0000 0.5000 1
Te1 Te 0.0000 0.0000 0.0000 1
Rh1 Rh 0.5000 0.5000 0.5000 1
```


Below is a crystal of Br5Cl relaxed with PBEsol, with properties calculated at the meta-GGA SCAN level.

Computed properties:
total magnetization	0.00	μB per formula unit
E_form (uncorrected)	65	kJ/mol of formula units

CIF file:
```
data_Br5Cl
_cell_length_a 15.6856
_cell_length_b 3.7936
_cell_length_c 6.6282
_cell_angle_alpha 90.00
_cell_angle_beta 101.40
_cell_angle_gamma 90.00
_space_group_name_H-M_alt 'C 1 m 1'
_space_group_IT_number 8
loop_
_space_group_symop_operation_xyz
'x,y,z'
'x,-y,z'
'x+1/2,y+1/2,z'
'x+1/2,-y+1/2,z'
loop_
_atom_site_label
_atom_site_type_symbol
_atom_site_fract_x
_atom_site_fract_y
_atom_site_fract_z
_atom_site_occupancy
Br1 Br 0.0000 0.0000 0.0000 1
Br2 Br 0.0793 0.0000 0.3423 1
Br3 Br 0.2438 0.5000 0.9981 1
Br4 Br 0.3311 0.0000 0.3248 1
Br5 Br 0.4129 0.0000 0.6710 1
Cl1 Cl 0.1675 0.5000 0.6757 1
```


Below is a crystal of LiMgZn2 relaxed with PBEsol, with properties calculated at the meta-GGA SCAN level.

Computed properties:
ΔH_f (0 K)	-0.1732	eV/atom
total magnetization	0.00	μB per formula unit

CIF file:
```
data_LiMgZn2
_cell_length_a 2.9234
_cell_length_b 4.2819
_cell_length_c 5.4193
_cell_angle_alpha 90.00
_cell_angle_beta 105.77
_cell_angle_gamma 90.00
_space_group_name_H-M_alt 'P 1 m 1'
_space_group_IT_number 6
loop_
_space_group_symop_operation_xyz
'x,y,z'
'x,-y,z'
loop_
_atom_site_label
_atom_site_type_symbol
_atom_site_fract_x
_atom_site_fract_y
_atom_site_fract_z
_atom_site_occupancy
Li1 Li 0.0000 0.0000 0.0000 1
Mg1 Mg 0.6632 0.5000 0.3282 1
Zn1 Zn 0.2723 0.0000 0.5473 1
Zn2 Zn 0.4012 0.5000 0.8018 1
```


Below is a crystal of Mg2In relaxed with PBEsol, with properties calculated at the meta-GGA SCAN level.

Computed properties:
ΔH_f (0 K)	-0.0528	eV/atom
total magnetization	0.00	μB per formula unit

CIF file:
```
data_Mg2In
_cell_length_a 3.1775
_cell_length_b 3.1775
_cell_length_c 27.9093
_cell_angle_alpha 90.00
_cell_angle_beta 90.00
_cell_angle_gamma 90.00
_space_group_name_H-M_alt 'I 41/a m d'
_space_group_IT_number 141
loop_
_space_group_symop_operation_xyz
'x,y,z'
'-x,-y,-z'
'-y+1/4,x+3/4,z+1/4'
'y+1/4,-x+3/4,-z+1/4'
'-x+1/2,-y,z+1/2'
'x+1/2,y,-z+1/2'
'y+1/4,-x+1/4,z+3/4'
'-y+1/4,x+1/4,-z+3/4'
'x,-y,-z'
'-x,y,z'
'-y+1/4,-x+1/4,-z+3/4'
'y+1/4,x+1/4,z+3/4'
'-x+1/2,y,-z+1/2'
'x+1/2,-y,z+1/2'
'y+1/4,x+3/4,-z+1/4'
'-y+1/4,-x+3/4,z+1/4'
'x+1/2,y+1/2,z+1/2'
'-x+1/2,-y+1/2,-z+1/2'
'-y+3/4,x+1/4,z+3/4'
'y+3/4,-x+1/4,-z+3/4'
'-x,-y+1/2,z'
'x,y+1/2,-z'
'y+3/4,-x+3/4,z+1/4'
'-y+3/4,x+3/4,-z+1/4'
'x+1/2,-y+1/2,-z+1/2'
'-x+1/2,y+1/2,z+1/2'
'-y+3/4,-x+3/4,-z+1/4'
'y+3/4,x+3/4,z+1/4'
'-x,y+1/2,-z'
'x,-y+1/2,z'
'y+3/4,x+1/4,-z+3/4'
'-y+3/4,-x+1/4,z+3/4'
loop_
_atom_site_label
_atom_site_type_symbol
_atom_site_fract_x
_atom_site_fract_y
_atom_site_fract_z
_atom_site_occupancy
Mg1 Mg 0.0000 0.2500 0.2971 1
In1 In 0.0000 0.2500 0.8750 1
```


Below is a crystal of RePt2Pb relaxed with PBEsol, with properties calculated at the meta-GGA SCAN level.

Computed properties:
ΔH_f (0 K)	0.4082	eV/atom
total magnetization	0.00	μB per formula unit

CIF file:
```
data_RePt2Pb
_cell_length_a 2.8807
_cell_length_b 3.6792
_cell_length_c 6.6061
_cell_angle_alpha 90.00
_cell_angle_beta 90.00
_cell_angle_gamma 90.00
_space_group_name_H-M_alt 'P m m 2'
_space_group_IT_number 25
loop_
_space_group_symop_operation_xyz
'x,y,z'
'-x,-y,z'
'-x,y,z'
'x,-y,z'
loop_
_atom_site_label
_atom_site_type_symbol
_atom_site_fract_x
_atom_site_fract_y
_atom_site_fract_z
_atom_site_occupancy
Re1 Re 0.0000 0.0000 0.0000 1
Pt1 Pt 0.0000 0.0000 0.5888 1
Pt2 Pt 0.5000 0.5000 0.8197 1
Pb1 Pb 0.5000 0.5000 0.3095 1
```


Below is a crystal of Sr2MgMn relaxed with PBEsol, with properties calculated at the meta-GGA SCAN level.

Computed properties:
ΔH_f (0 K)	0.1868	eV/atom
total magnetization	4.80	μB per formula unit

CIF file:
```
data_Sr2MgMn
_cell_length_a 5.5016
_cell_length_b 5.5016
_cell_length_c 7.8109
_cell_angle_alpha 90.00
_cell_angle_beta 90.00
_cell_angle_gamma 90.00
_space_group_name_H-M_alt 'I -4 m 2'
_space_group_IT_number 119
_space_group_name_Hall 'I -4 -2'
loop_
_atom_site_label
_atom_site_type_symbol
_atom_site_fract_x
_atom_site_fract_y
_atom_site_fract_z
_atom_site_occupancy
Sr1 Sr 0.0000 0.0000 0.0000 1
Sr2 Sr 0.0000 0.5000 0.2500 1
Mg1 Mg 0.0000 0.0000 0.5000 1
Mn1 Mn 0.0000 0.5000 0.7500 1
```


Below is a crystal of BaHg2Bi2 relaxed with PBEsol, with properties calculated at the meta-GGA SCAN level.

Computed properties:
ΔH_f (0 K)	-0.3432	eV/atom
E above lowest polymorph	0.0602	eV/atom
total magnetization	0.00	μB per formula unit

CIF file:
```
data_BaHg2Bi2
_cell_length_a 8.8004
_cell_length_b 8.8004
_cell_length_c 3.8155
_cell_angle_alpha 90.00
_cell_angle_beta 90.00
_cell_angle_gamma 90.00
_space_group_name_H-M_alt 'P 4/m b m'
_space_group_IT_number 127
_space_group_name_Hall '-P 4 2ab'
loop_
_atom_site_label
_atom_site_type_symbol
_atom_site_fract_x
_atom_site_fract_y
_atom_site_fract_z
_atom_site_occupancy
Ba1 Ba 0.0000 0.0000 0.0000 1
Hg1 Hg 0.1174 0.3826 0.0000 1
Bi1 Bi 0.1821 0.6821 0.5000 1
```


Below is a crystal of ZrBeW relaxed with PBEsol, with properties calculated at the meta-GGA SCAN level.

Computed properties:
ΔH_f (0 K)	1.2607	eV/atom
E above lowest polymorph	1.0574	eV/atom
total magnetization	0.00	μB per formula unit

CIF file:
```
data_ZrBeW
_cell_length_a 6.0469
_cell_length_b 6.0469
_cell_length_c 6.0469
_cell_angle_alpha 90.00
_cell_angle_beta 90.00
_cell_angle_gamma 90.00
_space_group_name_H-M_alt 'F -4 3 m'
_space_group_IT_number 216
_space_group_name_Hall 'F -4 2 3'
loop_
_atom_site_label
_atom_site_type_symbol
_atom_site_fract_x
_atom_site_fract_y
_atom_site_fract_z
_atom_site_occupancy
Zr1 Zr 0.0000 0.0000 0.0000 1
Be1 Be 0.0000 0.0000 0.5000 1
W1 W 0.2500 0.2500 0.2500 1
```


Below is a crystal of BeCuIr relaxed with PBEsol, with properties calculated at the meta-GGA SCAN level.

Computed properties:
ΔH_f (0 K)	-0.0904	eV/atom
total magnetization	0.00	μB per formula unit

CIF file:
```
data_BeCuIr
_cell_length_a 5.2236
_cell_length_b 5.2236
_cell_length_c 5.2236
_cell_angle_alpha 90.00
_cell_angle_beta 90.00
_cell_angle_gamma 90.00
_space_group_name_H-M_alt 'F -4 3 m'
_space_group_IT_number 216
_space_group_name_Hall 'F -4 2 3'
loop_
_atom_site_label
_atom_site_type_symbol
_atom_site_fract_x
_atom_site_fract_y
_atom_site_fract_z
_atom_site_occupancy
Be1 Be 0.0000 0.0000 0.0000 1
Cu1 Cu 0.2500 0.2500 0.7500 1
Ir1 Ir 0.2500 0.2500 0.2500 1
```


Below is a crystal of Mg2ZrBe relaxed with PBEsol, with properties calculated at the meta-GGA SCAN level.

Computed properties:
ΔH_f (0 K)	0.2559	eV/atom
total magnetization	0.01	μB per formula unit

CIF file:
```
data_Mg2ZrBe
_cell_length_a 2.9989
_cell_length_b 2.9989
_cell_length_c 29.1627
_cell_angle_alpha 90.00
_cell_angle_beta 90.00
_cell_angle_gamma 120.00
_space_group_name_H-M_alt 'R 3 m'
_space_group_IT_number 160
_space_group_name_Hall 'R 3 -2"'
loop_
_atom_site_label
_atom_site_type_symbol
_atom_site_fract_x
_atom_site_fract_y
_atom_site_fract_z
_atom_site_occupancy
Mg1 Mg 0.0000 0.0000 0.0000 1
Mg2 Mg 0.0000 0.0000 0.2396 1
Zr1 Zr 0.0000 0.0000 0.7600 1
Be1 Be 0.0000 0.0000 0.5014 1
```


Below is a crystal of Zr2HgO2 relaxed with PBEsol, with properties calculated at the meta-GGA SCAN level.

Computed properties:
total magnetization	0.00	μB per formula unit
E_form (uncorrected)	-1146	kJ/mol of formula units

CIF file:
```
data_Zr2HgO2
_cell_length_a 3.5238
_cell_length_b 3.5238
_cell_length_c 12.3291
_cell_angle_alpha 90.00
_cell_angle_beta 90.00
_cell_angle_gamma 90.00
_space_group_name_H-M_alt 'I 4/m m m'
_space_group_IT_number 139
_space_group_name_Hall '-I 4 2'
loop_
_atom_site_label
_atom_site_type_symbol
_atom_site_fract_x
_atom_site_fract_y
_atom_site_fract_z
_atom_site_occupancy
Zr1 Zr 0.0000 0.0000 0.1526 1
Hg1 Hg 0.0000 0.0000 0.5000 1
O1 O 0.0000 0.5000 0.2500 1
```


Below is a crystal of DyCuTe2 relaxed with PBEsol, with properties calculated at the meta-GGA SCAN level.

Computed properties:
total magnetization	0.00	μB per formula unit
E_form (uncorrected)	-373	kJ/mol of formula units

CIF file:
```
data_DyCuTe2
_cell_length_a 6.7535
_cell_length_b 4.2638
_cell_length_c 7.3445
_cell_angle_alpha 90.00
_cell_angle_beta 90.00
_cell_angle_gamma 90.00
_space_group_name_H-M_alt 'P 1 2/m 1'
_space_group_IT_number 10
loop_
_space_group_symop_operation_xyz
'x,y,z'
'-x,-y,-z'
'-x,y,-z'
'x,-y,z'
loop_
_atom_site_label
_atom_site_type_symbol
_atom_site_fract_x
_atom_site_fract_y
_atom_site_fract_z
_atom_site_occupancy
Dy1 Dy 0.0000 0.0000 0.0000 1
Dy2 Dy 0.0000 0.5000 0.5000 1
Cu1 Cu 0.3383 0.0000 0.3343 1
Te1 Te 0.2670 0.0000 0.6749 1
Te2 Te 0.2700 0.5000 0.1555 1
```